# ZrScIn2, relaxed, DFT GGA-PBE
# Crystal system: tetragonal
# V (A^3/atom): 22.2
# ΔE_f (eV/atom): -0.35
# Distance to the lowest polymorph of the same formula (meV/atom): 21
# Total magnetization (Bohr magnetons per cell): 0.00
data_ZrScIn2
_space_group_name_H-M_alt 'P 1'
_space_group_IT_number 1
_cell_length_a 5.4304
_cell_length_b 5.4304
_cell_length_c 5.4304
_cell_angle_alpha 131.12
_cell_angle_beta 131.12
_cell_angle_gamma 71.62
loop_
_space_group_symop_operation_xyz
'x,y,z'
loop_
_atom_site_label
_atom_site_type_symbol
_atom_site_fract_x
_atom_site_fract_y
_atom_site_fract_z
In1 In 0.5000 0.5000 0.0000
In2 In 0.0000 0.0000 0.0000
Zr1 Zr 0.7500 0.2500 0.5000
Sc1 Sc 0.2500 0.7500 0.5000



# Tl3In2Au9, relaxed, DFT GGA-PBE
# Crystal system: monoclinic
# V (A^3/atom): 25.0
# ΔE_f (eV/atom): 0.00
# Total magnetization (Bohr magnetons per cell): 0.00
data_Tl3In2Au9
_space_group_name_H-M_alt 'P 1'
_space_group_IT_number 1
_cell_length_a 4.7740
_cell_length_b 9.1046
_cell_length_c 9.0926
_cell_angle_alpha 69.08
_cell_angle_beta 74.93
_cell_angle_gamma 74.65
loop_
_space_group_symop_operation_xyz
'x,y,z'
loop_
_atom_site_label
_atom_site_type_symbol
_atom_site_fract_x
_atom_site_fract_y
_atom_site_fract_z
Au1 Au 0.3027 0.9782 0.4155
Au2 Au 0.1007 0.6447 0.1530
Au3 Au 0.0000 0.5000 0.5000
Tl1 Tl 0.7470 0.2530 0.2530
Au4 Au 0.8993 0.3553 0.8470
Au5 Au 0.1016 0.1530 0.6447
Tl2 Tl 0.0000 0.0000 0.0000
Au6 Au 0.6973 0.0218 0.5845
Au7 Au 0.3035 0.4155 0.9782
Tl3 Tl 0.2530 0.7470 0.7470
Au8 Au 0.6965 0.5845 0.0218
Au9 Au 0.8984 0.8470 0.3553
In1 In 0.5001 0.3324 0.6676
In2 In 0.4999 0.6676 0.3324



# Nd2ErTm3Se6, relaxed, DFT GGA-PBE
# Crystal system: monoclinic
# V (A^3/atom): 24.3
# Formation energy (no corrections) (eV per formula unit): -20.7
# Total magnetization (Bohr magnetons per cell): 0.00
data_Nd2ErTm3Se6
_space_group_name_H-M_alt 'P 1'
_space_group_IT_number 1
_cell_length_a 4.0481
_cell_length_b 8.2857
_cell_length_c 9.1923
_cell_angle_alpha 104.26
_cell_angle_beta 102.72
_cell_angle_gamma 90.00
loop_
_space_group_symop_operation_xyz
'x,y,z'
loop_
_atom_site_label
_atom_site_type_symbol
_atom_site_fract_x
_atom_site_fract_y
_atom_site_fract_z
Se1 Se 0.3350 0.9304 0.6699
Nd1 Nd 0.8309 0.6627 0.6618
Tm1 Tm 0.1709 0.8344 0.3419
Se2 Se 0.9949 0.2486 0.9898
Se3 Se 0.6650 0.0696 0.3301
Nd2 Nd 0.1691 0.3373 0.3382
Se4 Se 0.6609 0.5947 0.3219
Se5 Se 0.0051 0.7514 0.0102
Se6 Se 0.3391 0.4053 0.6781
Tm2 Tm 0.5000 0.5000 0.0000
Tm3 Tm 0.8291 0.1656 0.6581
Er1 Er 0.5000 0.0000 0.0000